(1)
A geometry-optimized K2NaCeCl8 structure. Source: Alexandria, functional PBE.

Properties
The value obtained for the uncorrected formation energy is -166 kJ/mol of atoms. For the magnetic moment, the calculation gives 1.0 μB/cell. The space group is No. 2.

Unit cell a=6.493 b=7.052 c=8.672 alpha=89.96 beta=89.93 gamma=89.66
Fractional coordinates of all 12 atoms:
1 K 0.001 0.000 0.251
2 K 0.999 0.000 0.749
3 Na 0.500 0.500 0.500
4 Ce 0.500 0.500 0.000
5 Cl 0.262 0.378 0.773
6 Cl 0.262 0.379 0.228
7 Cl 0.290 0.820 0.999
8 Cl 0.341 0.884 0.500
9 Cl 0.659 0.116 0.500
10 Cl 0.710 0.180 0.001
11 Cl 0.738 0.621 0.772
12 Cl 0.738 0.622 0.227

***

(2)
A geometry-optimized KNaCe2Cl8 structure. Source: Alexandria, functional PBE.

Properties
The value obtained for the uncorrected formation energy is -202 kJ/mol of atoms. For the magnetic moment, the calculation gives 2.0 μB/cell. The space group is No. 10.

Unit cell a=6.706 b=8.747 c=6.858 alpha=90.00 beta=93.41 gamma=90.00
Fractional coordinates of all 12 atoms:
1 K 0.000 0.000 0.000
2 Na 0.000 0.500 0.000
3 Ce 0.500 0.255 0.500
4 Ce 0.500 0.745 0.500
5 Cl 0.233 0.270 0.189
6 Cl 0.233 0.730 0.189
7 Cl 0.294 0.500 0.664
8 Cl 0.299 0.000 0.653
9 Cl 0.701 0.000 0.347
10 Cl 0.706 0.500 0.336
11 Cl 0.767 0.270 0.811
12 Cl 0.767 0.730 0.811

***

(3)
A geometry-optimized K2NaCeCl6 structure. Source: Alexandria, functional PBE.

Properties
The value obtained for the uncorrected formation energy is -193 kJ/mol of atoms. For the magnetic moment, the calculation gives 1.0 μB/cell. The space group is No. 225.

Unit cell a=7.733 b=7.733 c=7.733 alpha=60.00 beta=60.00 gamma=60.00
Fractional coordinates of all 10 atoms:
1 K 0.250 0.250 0.250
2 K 0.750 0.750 0.750
3 Na 0.000 0.000 0.000
4 Ce 0.500 0.500 0.500
5 Cl 0.250 0.250 0.750
6 Cl 0.250 0.750 0.250
7 Cl 0.250 0.750 0.750
8 Cl 0.750 0.250 0.250
9 Cl 0.750 0.250 0.750
10 Cl 0.750 0.750 0.250